*P*
DFT (PBE) results for crystalline LiIrBrF at its relaxed geometry.

Cell: 2.889 2.891 8.020 Å, 92.92 95.10 90.05°
Space group P1 (No. 1)
Asymmetric unit:
Li 0.000 0.000 0.000 (multiplicity 1)
Ir 0.562 0.536 0.252 (multiplicity 1)
Br 0.632 0.576 0.543 (multiplicity 1)
F 0.493 0.497 0.975 (multiplicity 1)

Calculated values
Mass density   7.4 g cm⁻³



*Q*
DFT (PBE) results for crystalline LiIrBrF at its relaxed geometry.

Cell: 4.322 3.069 6.667 Å, 90.00 108.01 90.00°
Space group Pm (No. 6)
Asymmetric unit:
Li 0.000 0.000 0.000 (multiplicity 1)
Ir 0.604 0.500 0.183 (multiplicity 1)
Br 0.922 0.000 0.436 (multiplicity 1)
F 0.203 0.500 0.916 (multiplicity 1)

Calculated values
Mass density   5.9 g cm⁻³



Which is the most stable structure? *P* is the most stable.



*P*
DFT (PBE) results for crystalline LiIrBrF at its relaxed geometry.

Cell: 3.138 4.363 6.106 Å, 89.57 75.59 69.45°
Space group P1 (No. 1)
Asymmetric unit:
Li 0.000 0.000 0.000 (multiplicity 1)
Ir 0.712 0.114 0.478 (multiplicity 1)
Br 0.069 0.530 0.353 (multiplicity 1)
F 0.597 0.934 0.866 (multiplicity 1)

Calculated values
Mass density   6.6 g cm⁻³



*Q*
DFT (PBE) results for crystalline LiIrBrF at its relaxed geometry.

Cell: 3.147 3.617 7.103 Å, 93.38 100.58 90.00°
Space group P1 (No. 1)
Asymmetric unit:
Li 0.000 0.000 0.000 (multiplicity 1)
Ir 0.229 0.115 0.593 (multiplicity 1)
Br 0.688 0.602 0.486 (multiplicity 1)
F 0.509 0.775 0.022 (multiplicity 1)

Calculated values
Mass density   6.2 g cm⁻³



*R*
DFT (PBE) results for crystalline LiIrBrF at its relaxed geometry.

Cell: 2.986 2.987 8.437 Å, 89.43 89.75 60.01°
Space group P1 (No. 1)
Asymmetric unit:
Li 0.000 0.000 0.000 (multiplicity 1)
Ir 0.658 0.675 0.645 (multiplicity 1)
Br 0.324 0.350 0.409 (multiplicity 1)
F 0.333 0.332 0.049 (multiplicity 1)

Calculated values
Mass density   7.6 g cm⁻³



*S*
DFT (PBE) results for crystalline LiIrBrF at its relaxed geometry.

Cell: 8.066 3.020 5.893 Å, 90.00 113.55 90.00°
Space group Cm (No. 8)
Asymmetric unit:
Li 0.000 0.000 0.000 (multiplicity 2)
Ir 0.104 0.000 0.610 (multiplicity 2)
Br 0.287 0.500 0.400 (multiplicity 2)
F 0.363 0.000 0.921 (multiplicity 2)

Calculated values
Mass density   7.5 g cm⁻³



Which is the most stable structure? *R* is the most stable.



*P*
DFT (PBE) results for crystalline LiIrBrF at its relaxed geometry.

Cell: 3.0465 3.0465 21.9961 Å, 90.00 90.00 120.00°
Space group R3m (No. 160, hexagonal axes)
Asymmetric unit:
Li 0.0000 0.0000 0.0000 (multiplicity 3)
Ir 0.0000 0.0000 0.5411 (multiplicity 3)
Br 0.0000 0.0000 0.4341 (multiplicity 3)
F 0.0000 0.0000 0.6398 (multiplicity 3)

Calculated values
Mass density   8.4 g cm⁻³



*Q*
DFT (PBE) results for crystalline LiIrBrF at its relaxed geometry.

Cell: 5.168 3.008 8.450 Å, 90.00 101.07 90.00°
Space group Cm (No. 8)
Asymmetric unit:
Li 0.000 0.000 0.000 (multiplicity 2)
Ir 0.229 0.000 0.661 (multiplicity 2)
Br 0.489 0.000 0.421 (multiplicity 2)
F 0.350 0.000 0.049 (multiplicity 2)

Calculated values
Mass density   7.7 g cm⁻³



Which is the most stable structure? *P* is the most stable.



*P*
DFT (PBE) results for crystalline IrBrNF2 at its relaxed geometry.

Cell: 4.301 4.301 3.783 Å, 90.00 90.00 90.00°
Space group P4/mmm (No. 123)
Asymmetric unit:
Ir 0.000 0.000 0.000 (multiplicity 1)
Br 0.500 0.500 0.500 (multiplicity 1)
N 0.000 0.000 0.500 (multiplicity 1)
F 0.000 0.500 0.000 (multiplicity 2)

Calculated values
Mass density   7.7 g cm⁻³



*Q*
DFT (PBE) results for crystalline IrBrNF2 at its relaxed geometry.

Cell: 4.236 4.236 4.331 Å, 90.00 90.00 90.00°
Space group P4/mmm (No. 123)
Asymmetric unit:
Ir 0.000 0.000 0.000 (multiplicity 1)
Br 0.500 0.500 0.500 (multiplicity 1)
N 0.500 0.500 0.000 (multiplicity 1)
F 0.000 0.500 0.500 (multiplicity 2)

Calculated values
Mass density   6.9 g cm⁻³



Which is the most stable structure? *P* is the most stable.